The following is a DFT calculation (SCAN) of MnOs2W at its PBEsol-relaxed geometry.

Cell: 3.8132 3.8132 3.7757 Å, 90.00 90.00 90.00°
Closest atoms and distances in Å follow each position.
Space group P4/mmm (No. 123)
Inequivalent atoms, fractional coordinates:
Mn: 0.0000 0.0000 0.0000 (multiplicity 1)  8 Os 2.68, 4 W 2.70
Os: 0.0000 0.5000 0.5000 (multiplicity 2)  4 Mn 2.68, 4 W 2.68, 4 Os 2.70
W: 0.5000 0.5000 0.0000 (multiplicity 1)  8 Os 2.68, 4 Mn 2.70

## Properties
V, Å³/f.u.: 54.90
Total magnetic moment, μB/cell: 2.23
Final energy, eV per atom: -57.971
Excess energy over the best structure of this formula in the dataset, eV per atom: 0.000
DFT formation energy, eV/atom: -0.05